(1)
{"formula": "LaCrRe2Au", "functional": "PBE", "state": "optimized geometry", "lattice_angstrom": [[4.8090, 0.0000, 0.0000], [0.0000, 4.6448, 0.0000], [0.0000, 0.0000, 4.8090]], "species": ["Re", "Re", "Cr", "La", "Au"], "frac_coords": [[0.0000, 0.0000, 0.5000], [0.5000, 0.0000, 0.0000], [0.0000, 0.5000, 0.0000], [0.0000, 0.0000, 0.0000], [0.5000, 0.5000, 0.5000]], "e_tot_ha_per_atom": -0.22073, "formation_enthalpy_0k_ev_per_atom": 2.5386, "mass_density_g_cm3": 11.75}


(2)
{"formula": "La2ScCrAu", "functional": "PBE", "state": "optimized geometry", "lattice_angstrom": [[-1.7136, 5.2879, -1.6239], [-2.4055, 0.6310, 4.5931], [4.8462, 2.2548, 2.2283]], "species": ["Au", "La", "La", "Sc", "Cr"], "frac_coords": [[0.0000, 0.0000, 0.0000], [0.0000, 0.0000, 0.5000], [0.5000, 0.0000, 0.0000], [0.0000, 0.5000, 0.0000], [0.5000, 0.5000, 0.5000]], "e_tot_ha_per_atom": -0.20028, "formation_enthalpy_0k_ev_per_atom": 0.3674, "mass_density_g_cm3": 5.42}


(3)
{"formula": "LaYCrAu2", "functional": "PBE", "state": "optimized geometry", "lattice_angstrom": [[5.1155, 0.0000, 0.0000], [0.0000, 4.7921, 0.0000], [0.0000, 0.0000, 5.1155]], "species": ["Cr", "Au", "Au", "La", "Y"], "frac_coords": [[0.0000, 0.0000, 0.0000], [0.5000, 0.0000, 0.0000], [0.0000, 0.0000, 0.5000], [0.0000, 0.5000, 0.0000], [0.5000, 0.5000, 0.5000]], "e_tot_ha_per_atom": -0.19684, "formation_enthalpy_0k_ev_per_atom": 0.1575, "mass_density_g_cm3": 8.92}


(4)
{"formula": "LiCr2Au", "functional": "PBE", "state": "optimized geometry", "lattice_angstrom": [[-3.2428, 7.9642, 4.0791], [-3.3643, 6.3727, 6.2172], [-1.0831, 7.6145, 5.6063]], "species": ["Cr", "Cr", "Au", "Li"], "frac_coords": [[0.4993, 0.4993, 0.4993], [0.0007, 0.0007, 0.0007], [0.7500, 0.7500, 0.7500], [0.2500, 0.2500, 0.2500]], "e_tot_ha_per_atom": -0.20012, "formation_enthalpy_0k_ev_per_atom": 0.6638, "mass_density_g_cm3": 8.83}


(5)
{"formula": "Li4CrAu", "functional": "PBE", "state": "optimized geometry", "lattice_angstrom": [[0.0000, 3.5672, 3.5672], [3.5672, 0.0000, 3.5672], [3.5672, 3.5672, 0.0000]], "species": ["Cr", "Li", "Li", "Li", "Li", "Au"], "frac_coords": [[0.0000, 0.0000, 0.0000], [0.8727, 0.3758, 0.3758], [0.3758, 0.3758, 0.8727], [0.3758, 0.8727, 0.3758], [0.3758, 0.3758, 0.3758], [0.7500, 0.7500, 0.7500]], "e_tot_ha_per_atom": -0.12230, "formation_enthalpy_0k_ev_per_atom": 0.0981, "mass_density_g_cm3": 5.06}


(6)
{"formula": "LiCr2Au", "functional": "PBE", "state": "optimized geometry", "lattice_angstrom": [[-3.1035, -0.2634, -0.0782], [0.0848, -1.7619, 2.5707], [-0.4904, 4.7983, 3.3047]], "species": ["Au", "Cr", "Cr", "Li"], "frac_coords": [[0.5000, 0.5000, 0.7301], [0.5000, 0.5000, 0.2318], [0.0000, 0.0000, 0.0354], [0.0000, 0.0000, 0.5027]], "e_tot_ha_per_atom": -0.22176, "formation_enthalpy_0k_ev_per_atom": 0.0752, "mass_density_g_cm3": 9.00}